Entry 1:
Below is crystalline Sc2ReHg at its relaxed geometry, with properties calculated at the PBE level.

Properties
total DFT energy (no corrections)	-5.7113	eV per atom
M_tot	1.0	μB per formula unit
calculated volume	21.16	Å³ per atom
energy of formation	0.642	eV/atom

a = 4.235 Å, b = 4.235 Å, c = 18.877 Å
α = 90.00°, β = 90.00°, γ = 90.00°
Space group I-42d (No. 122)
Symmetry-distinct sites (fractional):
Sc 0.233 0.250 0.125 x8
Re 0.000 0.000 0.000 x4
Hg 0.000 0.000 0.500 x4

=====

Entry 2:
Below is crystalline PuMgSnPt at its relaxed geometry, with properties calculated at the PBE level.

Properties
total DFT energy (no corrections)	-6.9435	eV per atom
M_tot	5.2	μB per formula unit
calculated volume	21.78	Å³ per atom
energy of formation	-0.451	eV/atom

a = 7.037 Å, b = 7.037 Å, c = 7.037 Å
α = 90.00°, β = 90.00°, γ = 90.00°
Space group F-43m (No. 216)
Symmetry-distinct sites (fractional):
Pu 0.000 0.000 0.000 x4
Mg 0.000 0.000 0.500 x4
Sn 0.250 0.250 0.750 x4
Pt 0.250 0.250 0.250 x4

=====

Entry 3:
Below is crystalline ZnPtCl2 at its relaxed geometry, with properties calculated at the PBE level.

Properties
formation energy (no corrections)	368	meV per atom
ΔE to the lowest computed polymorph	300.0	kJ/mol of formula units
total DFT energy (no corrections)	-2.3838	eV per atom
M_tot	0.0	μB per formula unit
calculated volume	17.70	Å³ per atom

a = 6.567 Å, b = 6.567 Å, c = 6.567 Å
α = 90.00°, β = 90.00°, γ = 90.00°
Space group F-43m (No. 216)
Symmetry-distinct sites (fractional):
Zn 0.000 0.000 0.000 x4
Pt 0.250 0.250 0.750 x4
Cl 0.000 0.000 0.500 x4
Cl 0.250 0.250 0.250 x4

=====

Entry 4:
Below is crystalline Sr4MnMo at its relaxed geometry, with properties calculated at the PBE level.

Properties
total DFT energy (no corrections)	-3.1243	eV per atom
M_tot	8.8	μB per formula unit
calculated volume	40.04	Å³ per atom
energy of formation	1.330	eV/atom

a = 9.868 Å, b = 9.868 Å, c = 9.868 Å
α = 90.00°, β = 90.00°, γ = 90.00°
Space group F-43m (No. 216)
Symmetry-distinct sites (fractional):
Sr 0.125 0.125 0.125 x16
Mn 0.250 0.250 0.750 x4
Mo 0.000 0.000 0.500 x4

=====

Entry 5:
Below is crystalline BaY3Tl at its relaxed geometry, with properties calculated at the PBE level.

Properties
ΔE to the lowest computed polymorph	0.0	kJ/mol of formula units
total DFT energy (no corrections)	-4.5163	eV per atom
M_tot	0.0	μB per formula unit
calculated volume	41.11	Å³ per atom
energy of formation	0.220	eV/atom

a = 5.901 Å, b = 5.901 Å, c = 5.901 Å
α = 90.00°, β = 90.00°, γ = 90.00°
Space group Pm-3m (No. 221)
Symmetry-distinct sites (fractional):
Ba 0.000 0.000 0.000 x1
Y 0.000 0.500 0.500 x3
Tl 0.500 0.500 0.500 x1

=====

Entry 6:
Below is crystalline Cs2Te2O5 at its relaxed geometry, with properties calculated at the PBE level.

Properties
formation energy (no corrections)	-1366	meV per atom
ΔE to the lowest computed polymorph	0.0	kJ/mol of formula units
total DFT energy (no corrections)	-5.0081	eV per atom
M_tot	0.0	μB per formula unit
calculated volume	23.45	Å³ per atom

a = 11.199 Å, b = 12.310 Å, c = 12.249 Å
α = 90.00°, β = 90.00°, γ = 90.00°
Space group Pbca (No. 61)
Symmetry-distinct sites (fractional):
Cs 0.215 0.002 0.003 x8
Cs 0.247 0.745 0.751 x8
Te 0.006 0.017 0.260 x8
Te 0.006 0.241 0.488 x8
O 0.007 0.648 0.616 x8
O 0.014 0.619 0.351 x8
O 0.031 0.612 0.110 x8
O 0.170 0.230 0.503 x8
O 0.172 0.006 0.270 x8

=====

Entry 7:
Below is crystalline NaSrPr2Hg4 at its relaxed geometry, with properties calculated at the PBE level.

Properties
total DFT energy (no corrections)	-2.1427	eV per atom
M_tot	0.0	μB per formula unit
calculated volume	28.48	Å³ per atom
energy of formation	-0.422	eV/atom

a = 5.4201 Å, b = 5.4201 Å, c = 26.8641 Å
α = 90.00°, β = 90.00°, γ = 120.00°
Space group R-3m (No. 166, hexagonal axes)
Symmetry-distinct sites (fractional):
Na 0.0000 0.0000 0.0000 x3
Sr 0.0000 0.0000 0.5000 x3
Pr 0.0000 0.0000 0.2540 x6
Hg 0.0000 0.0000 0.1220 x6
Hg 0.0000 0.0000 0.3740 x6

=====

Entry 8:
Below is crystalline ReP5 at its relaxed geometry, with properties calculated at the PBE level.

Properties
ΔE to the lowest computed polymorph	70.5	kJ/mol of formula units
total DFT energy (no corrections)	-6.3195	eV per atom
M_tot	0.0	μB per formula unit
calculated volume	17.00	Å³ per atom
energy of formation	0.263	eV/atom

a = 4.018 Å, b = 3.853 Å, c = 13.173 Å
α = 90.00°, β = 90.00°, γ = 90.00°
Space group Amm2 (No. 38)
Symmetry-distinct sites (fractional):
Re 0.000 0.000 0.000 x2
P 0.000 0.000 0.358 x2
P 0.000 0.000 0.609 x2
P 0.500 0.000 0.099 x2
P 0.500 0.000 0.440 x2
P 0.500 0.000 0.699 x2

=====

- Which of these has the highest total DFT energy (no corrections)?
  NaSrPr2Hg4

=====

- Which value of calculated volume does entry 2 give?
  21.78 Å³ per atom

=====

- Which of these has the lowest total DFT energy (no corrections)?
  PuMgSnPt